Below is crystalline LiSn4Rh at its relaxed geometry, with properties calculated at the PBEsol level.

a = 7.344 Å, b = 7.344 Å, c = 7.344 Å
α = 126.77°, β = 126.77°, γ = 78.62°
Sites, in units of the cell vectors:
Li  0.000  0.000  0.000
Li  0.500  0.500  0.000
Sn  0.025  0.525  0.820
Sn  0.204  0.025  0.500
Sn  0.296  0.796  0.820
Sn  0.475  0.296  0.500
Sn  0.525  0.704  0.500
Sn  0.704  0.204  0.180
Sn  0.796  0.975  0.500
Sn  0.975  0.475  0.180
Rh  0.250  0.250  0.000
Rh  0.750  0.750  0.000

Results
For the raw total energy, the calculation gives -0.3614 Ry/atom. As for the space-group type: I4/mcm, No. 140. The value obtained for the density of states at the Fermi level is 0.28 states/eV per atom.